Record 1
AlTlFe2 after structural relaxation. Source: Alexandria via LeMat-Bulk, functional PBE.

Cell: 3.0559 3.0559 6.8694 Å, 90.00 90.00 90.00°
Closest atoms and distances in Å follow each position.
Sites, in units of the cell vectors:
Al  0.0000  0.0000  0.0000  5 Fe 2.52-2.56
Tl  0.5000  0.5000  0.6501  5 Fe 2.88-3.18, 4 Tl 3.06
Fe  0.0000  0.0000  0.3724  4 Fe 2.51, 1 Al 2.56
Fe  0.5000  0.5000  0.1876  4 Fe 2.51, 4 Al 2.52

Calculated values
Formation enthalpy at 0 K ... 210 meV/atom

Record 2
AlTlFe2 after structural relaxation. Source: Alexandria via LeMat-Bulk, functional PBE.

Cell: 4.4142 4.4142 4.4142 Å, 60.00 60.00 60.00°
Closest atoms and distances in Å follow each position.
Sites, in units of the cell vectors:
Al  0.0000  0.0000  0.0000  4 Tl 2.70, 4 Fe 2.70
Tl  0.7500  0.7500  0.7500  4 Al 2.70, 4 Fe 2.70
Fe  0.2500  0.2500  0.2500  4 Fe 2.70, 4 Al 2.70
Fe  0.5000  0.5000  0.5000  4 Tl 2.70, 4 Fe 2.70

Calculated values
Formation enthalpy at 0 K ... 443 meV/atom

Record 3
Al2TlFe after structural relaxation. Source: Alexandria via LeMat-Bulk, functional PBE.

Cell: 2.9384 4.7949 5.1293 Å, 90.00 90.00 90.00°
Closest atoms and distances in Å follow each position.
Sites, in units of the cell vectors:
Al  0.0000  0.0000  0.0000  6 Al 2.81-2.94, 4 Fe 2.96
Al  0.5000  0.5000  0.0000  6 Al 2.81-2.94, 4 Tl 2.96
Tl  0.0000  0.5000  0.5000  4 Fe 2.81, 2 Tl 2.94, 4 Al 2.96
Fe  0.5000  0.0000  0.5000  4 Tl 2.81, 2 Fe 2.94, 4 Al 2.96

Calculated values
Formation enthalpy at 0 K ... 432 meV/atom
Polymorph energy (0 for the lowest one) ... 0.418 eV per atom

Record 4
Al2TlFe after structural relaxation. Source: Alexandria via LeMat-Bulk, functional PBE.

Cell: 3.3394 3.3394 6.1335 Å, 90.00 90.00 90.00°
Closest atoms and distances in Å follow each position.
Sites, in units of the cell vectors:
Al  0.0000  0.0000  0.0000  1 Fe 2.39
Al  0.5000  0.5000  0.2485  4 Fe 2.51, 1 Tl 2.77, 4 Al 2.81
Tl  0.5000  0.5000  0.7007  5 Al 2.77-2.99, 4 Fe 3.04
Fe  0.0000  0.0000  0.3896  5 Al 2.39-2.51

Calculated values
Formation enthalpy at 0 K ... 241 meV/atom
Polymorph energy (0 for the lowest one) ... 0.228 eV per atom

Record 5
Al2TlFe after structural relaxation. Source: Alexandria via LeMat-Bulk, functional PBE.

Cell: 8.8799 8.8799 8.8799 Å, 20.01 20.01 20.01°
Closest atoms and distances in Å follow each position.
Sites, in units of the cell vectors:
Al  0.0000  0.0000  0.0000  3 Fe 2.53, 3 Al 2.83
Al  0.2493  0.2493  0.2493  9 Al 2.83-3.09, 3 Tl 3.06
Tl  0.4874  0.4874  0.4874  3 Fe 2.85, 3 Al 3.06, 6 Tl 3.09
Fe  0.7357  0.7357  0.7357  3 Al 2.53

Calculated values
Formation enthalpy at 0 K ... 307 meV/atom
Polymorph energy (0 for the lowest one) ... 0.293 eV per atom

Record 6
AlTlFe2 after structural relaxation. Source: Alexandria via LeMat-Bulk, functional PBE.

Cell: 3.1742 3.1742 6.1315 Å, 90.00 90.00 90.00°
Closest atoms and distances in Å follow each position.
Sites, in units of the cell vectors:
Al  0.0000  0.0000  0.0000  8 Fe 2.54
Tl  0.0000  0.0000  0.5000  8 Fe 2.92, 2 Al 3.07, 4 Tl 3.17
Fe  0.5000  0.5000  0.1943  1 Fe 2.38, 4 Al 2.54
Fe  0.5000  0.5000  0.8057  1 Fe 2.38, 4 Al 2.54

Calculated values
Formation enthalpy at 0 K ... 239 meV/atom

Record 7
AlTlFe2 after structural relaxation. Source: Alexandria via LeMat-Bulk, functional PBE.

Cell: 4.8103 4.8103 4.8103 Å, 131.43 131.43 71.13°
Closest atoms and distances in Å follow each position.
Sites, in units of the cell vectors:
Al  0.0000  0.0000  0.0000  8 Fe 2.78, 4 Tl 2.80
Tl  0.5000  0.5000  0.0000  8 Fe 2.78, 4 Al 2.80
Fe  0.2500  0.7500  0.5000  4 Tl 2.78, 4 Al 2.78, 4 Fe 2.80
Fe  0.7500  0.2500  0.5000  4 Tl 2.78, 4 Al 2.78, 4 Fe 2.80

Calculated values
Formation enthalpy at 0 K ... 359 meV/atom

Record 8
Al2TlFe after structural relaxation. Source: Alexandria via LeMat-Bulk, functional PBE.

Cell: 2.9045 2.9045 8.4405 Å, 90.00 90.00 90.00°
Closest atoms and distances in Å follow each position.
Sites, in units of the cell vectors:
Al  0.0000  0.0000  0.0000  8 Al 2.88-2.90
Al  0.5000  0.5000  0.2389  4 Fe 2.58, 4 Al 2.88
Tl  0.5000  0.5000  0.6816  4 Tl 2.90, 4 Fe 2.99
Fe  0.0000  0.0000  0.4236  4 Al 2.58

Calculated values
Formation enthalpy at 0 K ... 263 meV/atom
Polymorph energy (0 for the lowest one) ... 0.250 eV per atom

Record 9
Al2TlFe after structural relaxation. Source: Alexandria via LeMat-Bulk, functional PBE.

Cell: 6.3349 6.3349 6.3349 Å, 154.90 136.99 50.45°
Closest atoms and distances in Å follow each position.
Sites, in units of the cell vectors:
Al  0.1910  0.1910  0.0000  2 Fe 2.59, 2 Al 2.75
Al  0.8090  0.8090  0.0000  2 Fe 2.59, 2 Al 2.75
Tl  0.5000  0.0000  0.5000  4 Fe 2.70, 2 Tl 2.75
Fe  0.0000  0.5000  0.5000  4 Al 2.59, 4 Tl 2.70, 2 Fe 2.75

Calculated values
Formation enthalpy at 0 K ... 264 meV/atom
Polymorph energy (0 for the lowest one) ... 0.250 eV per atom

Record 10
Al4TlFe after structural relaxation. Source: Alexandria via LeMat-Bulk, functional PBE.

Cell: 5.3474 5.3474 5.3474 Å, 60.00 60.00 60.00°
Closest atoms and distances in Å follow each position.
Sites, in units of the cell vectors:
Al  0.1241  0.1241  0.1241  6 Al 2.65-2.69
Al  0.1241  0.1241  0.6277  6 Al 2.65-2.69
Al  0.1241  0.6277  0.1241  6 Al 2.65-2.69
Al  0.6277  0.1241  0.1241  6 Al 2.65-2.69
Tl  0.5000  0.5000  0.5000  12 Al 3.14, 4 Fe 3.27
Fe  0.7500  0.7500  0.7500  12 Al 3.13, 4 Tl 3.27

Calculated values
Formation enthalpy at 0 K ... 354 meV/atom

Record 11
Al2TlFe after structural relaxation. Source: Alexandria via LeMat-Bulk, functional PBE.

Cell: 5.0699 5.0699 5.0699 Å, 133.17 133.17 68.39°
Closest atoms and distances in Å follow each position.
Sites, in units of the cell vectors:
Al  0.2500  0.7500  0.5000  4 Al 2.85, 4 Tl 2.91, 4 Fe 2.91
Al  0.7500  0.2500  0.5000  4 Al 2.85, 4 Tl 2.91, 4 Fe 2.91
Tl  0.0000  0.0000  0.0000  4 Fe 2.85, 8 Al 2.91
Fe  0.5000  0.5000  0.0000  4 Tl 2.85, 8 Al 2.91

Calculated values
Formation enthalpy at 0 K ... 323 meV/atom
Polymorph energy (0 for the lowest one) ... 0.309 eV per atom

Record 12
AlTlFe after structural relaxation. Source: Alexandria via LeMat-Bulk, functional PBE.

Cell: 5.7639 5.7639 5.7639 Å, 148.02 148.02 45.86°
Closest atoms and distances in Å follow each position.
Sites, in units of the cell vectors:
Al  0.0000  0.0000  0.0000  4 Fe 2.47
Tl  0.2807  0.2807  0.0000  4 Fe 2.97, 5 Al 2.98-3.23, 4 Tl 3.18
Fe  0.5970  0.5970  0.0000  4 Al 2.47

Calculated values
Formation enthalpy at 0 K ... 316 meV/atom
Polymorph energy (0 for the lowest one) ... 0.000 eV per atom

Record 13
Al2TlFe after structural relaxation. Source: Alexandria via LeMat-Bulk, functional PBE.

Cell: 5.6251 5.6251 3.0393 Å, 104.04 104.04 121.13°
Closest atoms and distances in Å follow each position.
Sites, in units of the cell vectors:
Al  0.0000  0.5000  0.0000  6 Al 2.76-3.04, 2 Tl 2.81, 2 Fe 2.81
Al  0.5000  0.0000  0.0000  6 Al 2.76-3.04, 2 Tl 2.81, 2 Fe 2.81
Tl  0.0000  0.0000  0.0000  4 Fe 2.76-2.93, 4 Al 2.81, 2 Tl 3.04
Fe  0.5000  0.5000  0.0000  4 Tl 2.76-2.93, 4 Al 2.81, 2 Fe 3.04

Calculated values
Formation enthalpy at 0 K ... 404 meV/atom
Polymorph energy (0 for the lowest one) ... 0.391 eV per atom

Record 14
AlTlFe after structural relaxation. Source: Alexandria via LeMat-Bulk, functional PBE.

Cell: 4.3636 4.3636 4.3636 Å, 60.00 60.00 60.00°
Closest atoms and distances in Å follow each position.
Sites, in units of the cell vectors:
Al  0.0000  0.0000  0.0000  4 Fe 2.67
Tl  0.5000  0.5000  0.5000  4 Fe 2.67
Fe  0.2500  0.2500  0.2500  4 Tl 2.67, 4 Al 2.67

Calculated values
Formation enthalpy at 0 K ... 430 meV/atom
Polymorph energy (0 for the lowest one) ... 0.114 eV per atom

Record 15
AlTlFe2 after structural relaxation. Source: Alexandria via LeMat-Bulk, functional PBE.

Cell: 9.4362 9.4362 9.4362 Å, 155.73 155.73 34.59°
Closest atoms and distances in Å follow each position.
Sites, in units of the cell vectors:
Al  0.0000  0.0000  0.0000  4 Fe 2.56, 4 Tl 2.81
Al  0.7500  0.2500  0.5000  4 Fe 2.56, 4 Tl 2.81
Tl  0.2500  0.7500  0.5000  4 Fe 2.77, 4 Al 2.81
Tl  0.5000  0.5000  0.0000  4 Fe 2.77, 4 Al 2.81
Fe  0.0564  0.6250  0.9314  2 Fe 2.45, 2 Al 2.56
Fe  0.3750  0.3064  0.4314  2 Fe 2.45, 2 Al 2.56
Fe  0.6936  0.1250  0.0686  2 Fe 2.45, 2 Al 2.56
Fe  0.8750  0.9436  0.5686  2 Fe 2.45, 2 Al 2.56

Calculated values
Formation enthalpy at 0 K ... 618 meV/atom

Record 16
AlTlFe3 after structural relaxation. Source: Alexandria via LeMat-Bulk, functional PBE.

Cell: 4.4219 4.4219 4.4219 Å, 90.00 90.00 90.00°
Closest atoms and distances in Å follow each position.
Sites, in units of the cell vectors:
Al  0.0000  0.0000  0.0000  6 Fe 2.21
Tl  0.5000  0.5000  0.5000  12 Fe 3.13
Fe  0.0000  0.0000  0.5000  2 Al 2.21
Fe  0.0000  0.5000  0.0000  2 Al 2.21
Fe  0.5000  0.0000  0.0000  2 Al 2.21

Calculated values
Formation enthalpy at 0 K ... 952 meV/atom
Polymorph energy (0 for the lowest one) ... 0.000 eV per atom

Record 17
AlTlFe2 after structural relaxation. Source: Alexandria via LeMat-Bulk, functional PBE.

Cell: 4.5468 4.5468 5.2003 Å, 100.25 100.25 37.96°
Closest atoms and distances in Å follow each position.
Sites, in units of the cell vectors:
Al  0.0000  0.0000  0.0000  6 Fe 2.55-2.61
Tl  0.5000  0.5000  0.5000  6 Fe 2.89-2.91, 2 Tl 2.96, 4 Al 2.99
Fe  0.2545  0.2545  0.8162  2 Fe 2.43, 3 Al 2.55-2.61
Fe  0.7455  0.7455  0.1838  2 Fe 2.43, 3 Al 2.55-2.61

Calculated values
Formation enthalpy at 0 K ... 327 meV/atom

Record 18
Al2TlFe after structural relaxation. Source: Alexandria via LeMat-Bulk, functional PBE.

Cell: 4.1168 4.1168 4.0002 Å, 90.00 90.00 90.00°
Closest atoms and distances in Å follow each position.
Sites, in units of the cell vectors:
Al  0.0000  0.5000  0.0000  4 Tl 2.87, 4 Fe 2.87, 4 Al 2.91
Al  0.5000  0.0000  0.0000  4 Tl 2.87, 4 Fe 2.87, 4 Al 2.91
Tl  0.0000  0.0000  0.5000  8 Al 2.87, 4 Fe 2.91
Fe  0.5000  0.5000  0.5000  8 Al 2.87, 4 Tl 2.91

Calculated values
Formation enthalpy at 0 K ... 387 meV/atom
Polymorph energy (0 for the lowest one) ... 0.373 eV per atom

Record 19
Al2TlFe after structural relaxation. Source: Alexandria via LeMat-Bulk, functional PBE.

Cell: 8.9039 8.9039 8.9039 Å, 19.82 19.82 19.82°
Closest atoms and distances in Å follow each position.
Sites, in units of the cell vectors:
Al  0.2325  0.2325  0.2325  3 Fe 2.47
Al  0.7675  0.7675  0.7675  3 Fe 2.47
Tl  0.0000  0.0000  0.0000  6 Tl 3.06, 6 Al 3.18
Fe  0.5000  0.5000  0.5000  6 Al 2.47

Calculated values
Formation enthalpy at 0 K ... 167 meV/atom
Polymorph energy (0 for the lowest one) ... 0.153 eV per atom

Record 20
TmAl2Fe10 after structural relaxation. Source: Alexandria via LeMat-Bulk, functional PBE.

Cell: 8.3493 6.4538 6.3232 Å, 81.60 49.88 48.52°
Closest atoms and distances in Å follow each position.
Sites, in units of the cell vectors:
Tm  0.0000  0.0000  0.0000  16 Fe 3.02-3.23, 4 Al 3.16
Al  0.0000  0.0000  0.5000  2 Al 2.44, 8 Fe 2.47-2.60
Al  0.5000  0.5000  0.0000  2 Al 2.44, 8 Fe 2.47-2.60
Fe  0.0000  0.5000  0.0000  10 Fe 2.40-2.58
Fe  0.0015  0.6381  0.3619  1 Fe 2.31
Fe  0.2813  0.4945  0.5055  6 Fe 2.40-2.68, 2 Al 2.47
Fe  0.3619  0.9985  0.0015  1 Fe 2.31
Fe  0.4945  0.2813  0.7187  6 Fe 2.40-2.68, 2 Al 2.47
Fe  0.5000  0.0000  0.5000  10 Fe 2.40-2.58
Fe  0.5055  0.7187  0.2813  6 Fe 2.40-2.68, 2 Al 2.47
Fe  0.6381  0.0015  0.9985  1 Fe 2.31
Fe  0.7187  0.5055  0.4945  6 Fe 2.40-2.68, 2 Al 2.47
Fe  0.9985  0.3619  0.6381  1 Fe 2.31

Calculated values
Formation enthalpy at 0 K ... -84 meV/atom